4
Lattice="-0.815 0.080 3.546 -2.907 -2.100 -0.621 3.902 -5.706 1.025" Properties=species:S:1:pos:R:3 comment="Sm2AlRh, relaxed, DFT GGA-PBE" relative_energy_mev_per_atom=0 delta_e_f_mev_per_atom=-542 space_group="P4/mmm, No. 123" dos_at_fermi_per_ev_fu=2.52 pbc="T T T"
Rh -1.861 -1.010 1.463
Al 0.090 -3.863 1.975
Sm 2.991 -4.373 0.786
Sm 0.912 -1.333 0.240


8
Lattice="6.296 0.000 0.000 0.000 6.296 0.000 0.000 0.000 6.296" Properties=species:S:1:pos:R:3 comment="TbEr3Bi4, relaxed, DFT GGA-PBE" delta_e_f_mev_per_atom=-834 space_group="Pm-3m, No. 221" dos_at_fermi_per_ev_fu=0.48 pbc="T T T"
Tb 0.000 0.000 0.000
Bi 3.148 0.000 0.000
Bi 0.000 3.148 0.000
Bi 0.000 0.000 3.148
Bi 3.148 3.148 3.148
Er 0.000 3.148 3.148
Er 3.148 0.000 3.148
Er 3.148 3.148 0.000


6
Lattice="-3.548 -4.431 -0.790 -2.596 -2.429 4.495 -5.641 0.674 0.761" Properties=species:S:1:pos:R:3 comment="MgSc4Co, relaxed, DFT GGA-PBE" relative_energy_mev_per_atom=665 delta_e_f_mev_per_atom=514 space_group="F-43m, No. 216" dos_at_fermi_per_ev_fu=6.74 pbc="T T T"
Mg 0.000 0.000 0.000
Sc -6.191 -4.525 1.287
Sc -7.230 -1.991 2.056
Sc -5.719 -3.531 3.910
Sc -4.430 -2.326 1.679
Co -8.839 -4.640 3.349


6
Lattice="5.089 0.017 -0.005 -0.347 5.366 -0.005 0.003 0.650 2.561" Properties=species:S:1:pos:R:3 comment="BeNiW, relaxed, DFT GGA-PBE" relative_energy_mev_per_atom=288 delta_e_f_mev_per_atom=46 space_group="P-1, No. 2" dos_at_fermi_per_ev_fu=1.78 pbc="T T T"
Be 1.482 4.822 1.125
Be 4.027 4.829 1.123
W 0.518 1.599 1.941
W 2.793 2.677 0.313
Ni 0.213 3.403 0.124
Ni 3.100 0.874 2.130


5
Lattice="-2.026 -2.833 2.213 0.984 -2.880 -2.787 3.458 -0.841 2.089" Properties=species:S:1:pos:R:3 comment="BaNiB3, relaxed, DFT GGA-PBE" relative_energy_mev_per_atom=0 delta_e_f_mev_per_atom=900 space_group="Pm-3m, No. 221" dos_at_fermi_per_ev_fu=4.97 pbc="T T T"
Ni 0.000 0.000 0.000
B 0.492 -1.440 -1.393
B 1.729 -0.420 1.045
B -1.013 -1.417 1.107
Ba 1.208 -3.277 0.758


4
Lattice="-0.847 -0.759 -4.480 -1.649 -3.784 0.953 -3.824 1.773 0.423" Properties=species:S:1:pos:R:3 comment="ZrCd2Au, relaxed, DFT GGA-PBE" delta_e_f_mev_per_atom=-204 space_group="P4/mmm, No. 123" dos_at_fermi_per_ev_fu=2.18 pbc="T T T"
Au -2.336 0.507 -2.028
Zr -1.248 -2.271 -1.763
Cd 0.000 0.000 0.000
Cd -2.737 -1.005 0.688


11
Lattice="4.785 0.000 2.284 2.392 4.538 1.142 -0.877 0.000 7.992" Properties=species:S:1:pos:R:3 comment="Pu2Ga5Ni4, relaxed, DFT GGA-PBE" delta_e_f_mev_per_atom=-347 space_group="Fmmm, No. 69" dos_at_fermi_per_ev_fu=28.54 pbc="T T T"
Pu 3.913 0.000 4.110
Pu -0.006 0.000 6.165
Ga 2.392 0.000 1.142
Ga 1.196 2.269 0.571
Ga 3.589 2.269 1.713
Ga 1.954 2.269 5.138
Ga 4.346 2.269 6.280
Ni 2.375 1.364 7.332
Ni 3.925 3.174 4.086
Ni 1.532 1.364 2.944
Ni 4.767 3.174 8.474


6
Lattice="5.198 0.000 0.001 0.000 4.167 -0.001 -0.001 2.085 5.211" Properties=species:S:1:pos:R:3 comment="CaMnIr, relaxed, DFT GGA-PBE" relative_energy_mev_per_atom=239 delta_e_f_mev_per_atom=34 space_group="Cmc2_1, No. 36" dos_at_fermi_per_ev_fu=3.82 pbc="T T T"
Ca 2.715 3.629 3.834
Ca 0.116 5.713 4.365
Mn 0.092 3.628 1.855
Mn 2.690 3.628 1.134
Ir 4.093 1.545 1.368
Ir 1.494 1.545 1.622